# 1
## Mn4HgW (GGA-PBE)

Data for an optimized crystal structure of Mn4HgW.

Unit cell a=4.819 b=4.819 c=4.819 alpha=60.00 beta=60.00 gamma=60.00
Element x y z (fractional)
1 Mn 0.376 0.376 0.376
2 Mn 0.376 0.376 0.872
3 Mn 0.376 0.872 0.376
4 Mn 0.872 0.376 0.376
5 Hg 0.750 0.750 0.750
6 W 0.000 0.000 0.000

Values from the calculation:
* ρ: 12.675 g/cm³
* symmetry: F-43m, No. 216
* DOS(E_F): 0.9155 states/eV/atom
* calculated formation energy: 0.2779 eV/atom
* total magnetic moment: 3.8 μB/f.u.
* DFT total energy: -0.2956 hartree per atom

***

# 2
## AcAl3Pt3 (GGA-PBE)

Data for an optimized crystal structure of AcAl3Pt3.

Unit cell a=6.846 b=6.846 c=6.846 alpha=90.00 beta=90.00 gamma=90.00
Element x y z (fractional)
1 Ac 0.000 0.000 0.000
2 Ac 0.500 0.500 0.500
3 Al 0.000 0.250 0.500
4 Al 0.000 0.750 0.500
5 Al 0.250 0.500 0.000
6 Al 0.500 0.000 0.250
7 Al 0.500 0.000 0.750
8 Al 0.750 0.500 0.000
9 Pt 0.000 0.500 0.250
10 Pt 0.000 0.500 0.750
11 Pt 0.250 0.000 0.500
12 Pt 0.500 0.250 0.000
13 Pt 0.500 0.750 0.000
14 Pt 0.750 0.000 0.500

Values from the calculation:
* ρ: 9.247 g/cm³
* symmetry: Pm-3n, No. 223
* DOS(E_F): 0.6523 states/eV/atom
* calculated formation energy: -0.7784 eV/atom
* total magnetic moment: 0.0 μB/f.u.
* DFT total energy: -0.2043 hartree per atom

***

# 3
## ScTa2Os (GGA-PBE)

Data for an optimized crystal structure of ScTa2Os.

Unit cell a=6.057 b=6.057 c=6.057 alpha=102.05 beta=102.05 gamma=125.63
Element x y z (fractional)
1 Sc 0.000 0.000 0.000
2 Sc 0.750 0.250 0.500
3 Ta 0.174 0.625 0.049
4 Ta 0.375 0.424 0.549
5 Ta 0.576 0.125 0.951
6 Ta 0.875 0.826 0.451
7 Os 0.250 0.750 0.500
8 Os 0.500 0.500 0.000

Values from the calculation:
* ρ: 12.341 g/cm³
* symmetry: I-42d, No. 122
* DOS(E_F): 1.2128 states/eV/atom
* calculated formation energy: 0.3359 eV/atom
* total magnetic moment: 0.0 μB/f.u.
* DFT total energy: -0.3668 hartree per atom

***

# 4
## V2Pd2Pt (GGA-PBE)

Data for an optimized crystal structure of V2Pd2Pt.

Unit cell a=7.335 b=7.335 c=2.768 alpha=90.00 beta=90.00 gamma=90.00
Element x y z (fractional)
1 V 0.172 0.328 0.000
2 V 0.328 0.828 0.000
3 V 0.672 0.172 0.000
4 V 0.828 0.672 0.000
5 Pd 0.127 0.627 0.500
6 Pd 0.373 0.127 0.500
7 Pd 0.627 0.873 0.500
8 Pd 0.873 0.373 0.500
9 Pt 0.000 0.000 0.500
10 Pt 0.500 0.500 0.500

Values from the calculation:
* ρ: 11.369 g/cm³
* symmetry: P4/mbm, No. 127
* DOS(E_F): 1.2307 states/eV/atom
* calculated formation energy: -0.1279 eV/atom
* total magnetic moment: 0.0 μB/f.u.
* DFT total energy: -0.2595 hartree per atom